1.
4
Lattice="-1.972 4.079 0.969 -4.290 -1.863 -0.888 -0.392 -1.275 4.569" Properties=species:S:1:pos:R:3 comment="NaInSn2, optimized geometry, DFT PBE" space_group=P4/mmm pbc="T T T"
In -3.327 0.470 2.325
Sn -0.196 -0.638 2.285
Na -0.986 2.039 0.485
Sn -2.145 -0.931 -0.444


2.
5
Lattice="5.081 0.000 0.000 0.000 5.081 0.000 0.000 0.000 5.081" Properties=species:S:1:pos:R:3 comment="BaNb3Ga, optimized geometry, DFT PBE" de_polymorph_ev_per_fu=6.65 space_group=Pm-3m pbc="T T T"
Ba 0.000 0.000 0.000
Nb 0.000 2.540 0.000
Ga 2.540 2.540 2.540
Nb 0.000 0.000 2.540
Nb 2.540 0.000 0.000


| no. | energy of formation from the pure elements (eV/atom) |
| --- | --- |
| 1 | -0.11 |
| 2 | 2.48 |